A plane-wave DFT calculation with GGA-PBE was carried out for Pu3ZrNp4P8 after structural relaxation.

a = 7.8660 Å, b = 7.8660 Å, c = 7.8660 Å
α = 60.00°, β = 60.00°, γ = 60.00°
With the nearest neighbours (Å) after each atom.
Atoms (fractional coordinates):
Pu 0.0000 0.5000 0.5000  6 P 2.79-2.80
Pu 0.5000 0.0000 0.5000  6 P 2.79-2.80
Pu 0.5000 0.5000 0.0000  6 P 2.79-2.80
Zr 0.0000 0.0000 0.0000  6 P 2.73
Np 0.0000 0.0000 0.5000  6 P 2.77
Np 0.0000 0.5000 0.0000  6 P 2.77
Np 0.5000 0.0000 0.0000  6 P 2.77
Np 0.5000 0.5000 0.5000  6 P 2.83
P 0.2427 0.7544 0.7544  1 Zr 2.73, 3 Np 2.77-2.83, 2 Pu 2.80
P 0.2456 0.2456 0.7573  1 Zr 2.73, 3 Np 2.77-2.83, 2 Pu 2.80
P 0.2456 0.7573 0.2456  1 Zr 2.73, 3 Np 2.77-2.83, 2 Pu 2.80
P 0.2492 0.2492 0.2492  3 Np 2.77, 3 Pu 2.79
P 0.7508 0.7508 0.7508  3 Np 2.77, 3 Pu 2.79
P 0.7544 0.2427 0.7544  1 Zr 2.73, 3 Np 2.77-2.83, 2 Pu 2.80
P 0.7544 0.7544 0.2427  1 Zr 2.73, 3 Np 2.77-2.83, 2 Pu 2.80
P 0.7573 0.2456 0.2456  1 Zr 2.73, 3 Np 2.77-2.83, 2 Pu 2.80

Computed properties:
Calculated formation energy   -1023 meV per atom
Mass density   9.7 g/cm3

=====

A plane-wave DFT calculation with GGA-PBE was carried out for RbNpP after structural relaxation.

a = 10.6015 Å, b = 10.6015 Å, c = 5.8706 Å
α = 99.73°, β = 99.73°, γ = 18.95°
With the nearest neighbours (Å) after each atom.
Atoms (fractional coordinates):
Rb 0.0636 0.0636 0.2889  6 P 3.44-3.61, 2 Rb 3.49
Rb 0.9364 0.9364 0.7111  6 P 3.44-3.61, 2 Rb 3.49
Np 0.2877 0.2877 0.0745  2 Np 2.41, 1 P 2.54
Np 0.7123 0.7123 0.9255  2 Np 2.41, 1 P 2.54
P 0.4100 0.4100 0.1987  1 Np 2.54
P 0.5900 0.5900 0.8013  1 Np 2.54

Computed properties:
Calculated formation energy   293 meV per atom
Mass density   5.6 g/cm3

=====

A plane-wave DFT calculation with GGA-PBE was carried out for RbNpPS6 after structural relaxation.

a = 6.3273 Å, b = 6.3273 Å, c = 7.6288 Å
α = 90.00°, β = 90.00°, γ = 120.00°
With the nearest neighbours (Å) after each atom.
Atoms (fractional coordinates):
Rb 0.0000 0.0000 0.0000  6 S 3.41
Np 0.3333 0.6667 0.5000  6 S 2.54
P 0.6667 0.3333 0.5000  6 S 2.29
S 0.3865 0.0295 0.6767  1 P 2.29, 1 Np 2.54
S 0.3865 0.3570 0.3233  1 P 2.29, 1 Np 2.54
S 0.6430 0.0295 0.3233  1 P 2.29, 1 Np 2.54
S 0.6430 0.6135 0.6767  1 P 2.29, 1 Np 2.54
S 0.9705 0.3570 0.6767  1 P 2.29, 1 Np 2.54
S 0.9705 0.6135 0.3233  1 P 2.29, 1 Np 2.54

Computed properties:
Formation energy (no corrections)   -0.501 eV per atom
Mass density   3.4 g/cm3

=====

A plane-wave DFT calculation with GGA-PBE was carried out for Rb2NpPS6 after structural relaxation.

a = 7.0026 Å, b = 7.0026 Å, c = 7.0026 Å
α = 60.00°, β = 60.00°, γ = 60.00°
With the nearest neighbours (Å) after each atom.
Atoms (fractional coordinates):
Rb 0.2500 0.2500 0.2500  12 S 3.50
Rb 0.7500 0.7500 0.7500  12 S 3.50
Np 0.0000 0.0000 0.0000  6 S 2.54
P 0.5000 0.5000 0.5000  6 S 2.41
S 0.2567 0.2567 0.7433  1 P 2.41, 1 Np 2.54
S 0.2567 0.7433 0.2567  1 P 2.41, 1 Np 2.54
S 0.2567 0.7433 0.7433  1 P 2.41, 1 Np 2.54
S 0.7433 0.2567 0.2567  1 P 2.41, 1 Np 2.54
S 0.7433 0.2567 0.7433  1 P 2.41, 1 Np 2.54
S 0.7433 0.7433 0.2567  1 P 2.41, 1 Np 2.54

Computed properties:
Formation energy (no corrections)   -0.660 eV per atom
Mass density   4.3 g/cm3

=====

A plane-wave DFT calculation with GGA-PBE was carried out for NpRe4P2 after structural relaxation.

a = 7.1748 Å, b = 7.1748 Å, c = 4.0066 Å
α = 90.00°, β = 90.00°, γ = 147.26°
With the nearest neighbours (Å) after each atom.
Atoms (fractional coordinates):
Np 0.0000 0.0000 0.0000  8 P 3.07, 8 Re 3.20-3.31
Re 0.1811 0.8189 0.5000  2 P 2.42, 2 Re 2.67
Re 0.3096 0.6904 0.0000  2 P 2.48, 4 Re 2.60-2.67
Re 0.6904 0.3096 0.0000  2 P 2.48, 4 Re 2.60-2.67
Re 0.8189 0.1811 0.5000  2 P 2.42, 2 Re 2.67
P 0.4155 0.5845 0.5000  1 P 2.33, 4 Re 2.42-2.48
P 0.5845 0.4155 0.5000  1 P 2.33, 4 Re 2.42-2.48

Computed properties:
Calculated formation energy   -384 meV per atom
Mass density   15.5 g/cm3

=====

A plane-wave DFT calculation with GGA-PBE was carried out for NpRe2P2 after structural relaxation.

a = 11.4159 Å, b = 11.4159 Å, c = 3.9316 Å
α = 90.00°, β = 90.00°, γ = 160.45°
With the nearest neighbours (Å) after each atom.
Atoms (fractional coordinates):
Np 0.1560 0.8440 0.7500  8 P 2.87-2.95, 2 Re 3.18
Np 0.8440 0.1560 0.2500  8 P 2.87-2.95, 2 Re 3.18
Re 0.0384 0.9616 0.2500  2 P 2.52, 8 Re 2.62-2.76
Re 0.4563 0.5437 0.2500  2 P 2.47, 6 Re 2.68-2.76
Re 0.5437 0.4563 0.7500  2 P 2.47, 6 Re 2.68-2.76
Re 0.9616 0.0384 0.7500  2 P 2.52, 8 Re 2.62-2.76
P 0.2498 0.7502 0.2500  4 P 2.76, 4 Np 2.87-2.88
P 0.3899 0.6101 0.7500  4 Re 2.47-2.52
P 0.6101 0.3899 0.2500  4 Re 2.47-2.52
P 0.7502 0.2498 0.7500  4 P 2.76, 4 Np 2.87-2.88

Computed properties:
Calculated formation energy   -426 meV per atom
Mass density   13.0 g/cm3

=====

A plane-wave DFT calculation with GGA-PBE was carried out for NpReP2Rh after structural relaxation.

a = 5.7345 Å, b = 5.7345 Å, c = 5.7345 Å
α = 138.77°, β = 138.77°, γ = 59.73°
With the nearest neighbours (Å) after each atom.
Atoms (fractional coordinates):
Np 0.0000 0.0000 0.0000  8 P 3.11, 4 Re 3.20, 4 Rh 3.20
Re 0.7500 0.2500 0.5000  4 P 2.38
P 0.3768 0.3768 0.0000  2 Re 2.38, 2 Rh 2.38, 1 P 2.45
P 0.6232 0.6232 0.0000  2 Rh 2.38, 2 Re 2.38, 1 P 2.45
Rh 0.2500 0.7500 0.5000  4 P 2.38

Computed properties:
Calculated formation energy   -578 meV per atom
Mass density   12.0 g/cm3

=====

A plane-wave DFT calculation with GGA-PBE was carried out for NpReP2Ru after structural relaxation.

a = 5.6164 Å, b = 5.6164 Å, c = 5.6164 Å
α = 137.15°, β = 137.15°, γ = 62.20°
With the nearest neighbours (Å) after each atom.
Atoms (fractional coordinates):
Np 0.0000 0.0000 0.0000  8 P 3.15, 4 Re 3.16, 4 Ru 3.16
Re 0.7500 0.2500 0.5000  4 P 2.37
P 0.3736 0.3736 0.0000  2 Re 2.37, 2 Ru 2.37, 1 P 2.43
P 0.6264 0.6264 0.0000  2 Re 2.37, 2 Ru 2.37, 1 P 2.43
Ru 0.2500 0.7500 0.5000  4 P 2.37

Computed properties:
Calculated formation energy   -543 meV per atom
Mass density   12.0 g/cm3

=====

A plane-wave DFT calculation with GGA-PBE was carried out for NpP3Rh after structural relaxation.

a = 11.3885 Å, b = 5.3674 Å, c = 5.4440 Å
α = 90.00°, β = 90.00°, γ = 90.00°
With the nearest neighbours (Å) after each atom.
Atoms (fractional coordinates):
Np 0.1889 0.0088 0.2500  9 P 2.75-2.88
Np 0.1889 0.4912 0.7500  9 P 2.75-2.88
Np 0.8111 0.5088 0.2500  9 P 2.75-2.88
Np 0.8111 0.9912 0.7500  9 P 2.75-2.88
P 0.0029 0.7500 0.0000  4 P 2.68-2.72, 4 Np 2.88
P 0.0029 0.7500 0.5000  4 P 2.68-2.72, 4 Np 2.88
P 0.2625 0.5049 0.2500  2 Rh 2.59, 1 P 2.76, 4 Np 2.79-2.85
P 0.2625 0.9951 0.7500  2 Rh 2.59, 1 P 2.76, 4 Np 2.79-2.85
P 0.4243 0.1230 0.2500  4 Rh 2.36-2.42
P 0.4243 0.3770 0.7500  4 Rh 2.36-2.42
P 0.5757 0.6230 0.2500  4 Rh 2.36-2.42
P 0.5757 0.8770 0.7500  4 Rh 2.36-2.42
P 0.7375 0.0049 0.2500  2 Rh 2.59, 1 P 2.76, 4 Np 2.79-2.85
P 0.7375 0.4951 0.7500  2 Rh 2.59, 1 P 2.76, 4 Np 2.79-2.85
P 0.9971 0.2500 0.0000  4 P 2.68-2.72, 4 Np 2.88
P 0.9971 0.2500 0.5000  4 P 2.68-2.72, 4 Np 2.88
Rh 0.4178 0.7500 0.0000  6 P 2.36-2.59
Rh 0.4178 0.7500 0.5000  6 P 2.36-2.59
Rh 0.5822 0.2500 0.0000  6 P 2.36-2.59
Rh 0.5822 0.2500 0.5000  6 P 2.36-2.59

Computed properties:
Calculated formation energy   -598 meV per atom
Mass density   8.6 g/cm3

=====

A plane-wave DFT calculation with GGA-PBE was carried out for Np2P3Rh2 after structural relaxation.

a = 7.5325 Å, b = 7.5325 Å, c = 11.0321 Å
α = 124.40°, β = 124.40°, γ = 29.95°
With the nearest neighbours (Å) after each atom.
Atoms (fractional coordinates):
Np 0.1098 0.1098 0.4633  7 P 2.80-2.94
Np 0.2307 0.2307 0.8342  6 P 2.80-2.86
Np 0.7693 0.7693 0.1658  6 P 2.80-2.86
Np 0.8902 0.8902 0.5367  7 P 2.80-2.94
P 0.1140 0.1140 0.9693  4 Rh 2.35-2.38
P 0.3425 0.3425 0.6910  3 Rh 2.35-2.44
P 0.4278 0.4278 0.3700  1 Rh 2.35, 1 P 2.37
P 0.5722 0.5722 0.6300  1 Rh 2.35, 1 P 2.37
P 0.6575 0.6575 0.3090  3 Rh 2.35-2.44
P 0.8860 0.8860 0.0307  4 Rh 2.35-2.38
Rh 0.0868 0.0868 0.1623  4 P 2.35-2.38
Rh 0.4523 0.4523 0.1778  4 P 2.35-2.44
Rh 0.5477 0.5477 0.8222  4 P 2.35-2.44
Rh 0.9132 0.9132 0.8377  4 P 2.35-2.38

Computed properties:
Calculated formation energy   -776 meV per atom
Mass density   10.1 g/cm3

=====

Number 1: DFT total energy -10.184 eV per atom, N(E_F) 58.3 states/eV/cell. Number 2: DFT total energy -6.147 eV per atom, N(E_F) 4.8 states/eV/cell. Number 3: DFT total energy -5.399 eV per atom, N(E_F) 1.8 states/eV/cell. Number 4: DFT total energy -5.165 eV per atom, N(E_F) 9.3 states/eV/cell. Number 5: DFT total energy -10.892 eV per atom, N(E_F) 11.3 states/eV/cell. Number 6: DFT total energy -10.158 eV per atom, N(E_F) 21.0 states/eV/cell. Number 7: DFT total energy -9.290 eV per atom, N(E_F) 12.4 states/eV/cell. Number 8: DFT total energy -9.639 eV per atom, N(E_F) 13.3 states/eV/cell. Number 9: DFT total energy -7.903 eV per atom, N(E_F) 31.3 states/eV/cell. Number 10: DFT total energy -8.892 eV per atom, N(E_F) 34.1 states/eV/cell.